Material: Pr2Cl
Method: DFT, PBE-GGA
State: relaxed

Properties
Space-group type   No. 225
Energy   -0.319 Ry/atom

Cell: 7.0240 7.0240 7.0240 Å, 90.00 90.00 90.00°
Fractional positions:
1 Pr 0.2500 0.2500 0.2500
2 Pr 0.2500 0.2500 0.7500
3 Pr 0.2500 0.7500 0.2500
4 Pr 0.2500 0.7500 0.7500
5 Pr 0.7500 0.2500 0.2500
6 Pr 0.7500 0.2500 0.7500
7 Pr 0.7500 0.7500 0.2500
8 Pr 0.7500 0.7500 0.7500
9 Cl 0.0000 0.0000 0.0000
10 Cl 0.0000 0.5000 0.5000
11 Cl 0.5000 0.0000 0.5000
12 Cl 0.5000 0.5000 0.0000



Material: LuZnCoOs
Method: DFT, PBE-GGA
State: relaxed

Properties
Space-group type   No. 216
ΔE_f   63 kJ/mol of formula units

Cell: 6.3541 6.3541 6.3541 Å, 90.00 90.00 90.00°
Fractional positions:
1 Lu 0.0000 0.0000 0.0000
2 Lu 0.0000 0.5000 0.5000
3 Lu 0.5000 0.0000 0.5000
4 Lu 0.5000 0.5000 0.0000
5 Zn 0.2500 0.2500 0.2500
6 Zn 0.2500 0.7500 0.7500
7 Zn 0.7500 0.2500 0.7500
8 Zn 0.7500 0.7500 0.2500
9 Co 0.0000 0.0000 0.5000
10 Co 0.0000 0.5000 0.0000
11 Co 0.5000 0.0000 0.0000
12 Co 0.5000 0.5000 0.5000
13 Os 0.2500 0.2500 0.7500
14 Os 0.2500 0.7500 0.2500
15 Os 0.7500 0.2500 0.2500
16 Os 0.7500 0.7500 0.7500



Material: Ni4PbC2S
Method: DFT, PBE-GGA
State: relaxed

Properties
Space-group type   No. 187
Energy   -0.415 Ry/atom

Cell: 3.1717 3.1717 11.5535 Å, 90.00 90.00 120.00°
Fractional positions:
1 Ni 0.0000 0.0000 0.1446
2 Ni 0.0000 0.0000 0.8554
3 Ni 0.6667 0.3333 0.2898
4 Ni 0.6667 0.3333 0.7102
5 Pb 0.0000 0.0000 0.5000
6 C 0.3333 0.6667 0.2286
7 C 0.3333 0.6667 0.7714
8 S 0.6667 0.3333 0.0000



Material: SrSmAuSe3
Method: DFT, PBE-GGA
State: relaxed

Properties
Space-group type   No. 12
Energy   -0.352 Ry/atom

Cell: 9.5253 9.5253 8.5117 Å, 101.42 101.42 25.07°
Fractional positions:
1 Sr 0.1260 0.1260 0.0791
2 Sr 0.8740 0.8740 0.9209
3 Sm 0.1639 0.1639 0.5947
4 Sm 0.8361 0.8361 0.4053
5 Au 0.4543 0.4543 0.2844
6 Au 0.5457 0.5457 0.7156
7 Se 0.0000 0.0000 0.5000
8 Se 0.3139 0.3139 0.1529
9 Se 0.3262 0.3262 0.6415
10 Se 0.5000 0.5000 0.0000
11 Se 0.6738 0.6738 0.3585
12 Se 0.6861 0.6861 0.8471



Material: YCuBIr
Method: DFT, PBE-GGA
State: relaxed

Properties
Space-group type   No. 216
Energy   -0.440 Ry/atom

Cell: 6.3111 6.3111 6.3111 Å, 90.00 90.00 90.00°
Fractional positions:
1 Y 0.0000 0.0000 0.0000
2 Y 0.0000 0.5000 0.5000
3 Y 0.5000 0.0000 0.5000
4 Y 0.5000 0.5000 0.0000
5 Cu 0.0000 0.0000 0.5000
6 Cu 0.0000 0.5000 0.0000
7 Cu 0.5000 0.0000 0.0000
8 Cu 0.5000 0.5000 0.5000
9 B 0.2500 0.2500 0.2500
10 B 0.2500 0.7500 0.7500
11 B 0.7500 0.2500 0.7500
12 B 0.7500 0.7500 0.2500
13 Ir 0.2500 0.2500 0.7500
14 Ir 0.2500 0.7500 0.2500
15 Ir 0.7500 0.2500 0.2500
16 Ir 0.7500 0.7500 0.7500



Material: HfBeHgPd
Method: DFT, PBE-GGA
State: relaxed

Properties
Space-group type   No. 216
Energy   -0.361 Ry/atom

Cell: 6.4572 6.4572 6.4572 Å, 90.00 90.00 90.00°
Fractional positions:
1 Hf 0.0000 0.0000 0.0000
2 Hf 0.0000 0.5000 0.5000
3 Hf 0.5000 0.0000 0.5000
4 Hf 0.5000 0.5000 0.0000
5 Be 0.0000 0.0000 0.5000
6 Be 0.0000 0.5000 0.0000
7 Be 0.5000 0.0000 0.0000
8 Be 0.5000 0.5000 0.5000
9 Hg 0.2500 0.2500 0.2500
10 Hg 0.2500 0.7500 0.7500
11 Hg 0.7500 0.2500 0.7500
12 Hg 0.7500 0.7500 0.2500
13 Pd 0.2500 0.2500 0.7500
14 Pd 0.2500 0.7500 0.2500
15 Pd 0.7500 0.2500 0.2500
16 Pd 0.7500 0.7500 0.7500



Material: Sb5Pt3Au
Method: DFT, PBE-GGA
State: relaxed

Properties
Space-group type   No. 191
Energy   -0.343 Ry/atom

Cell: 5.5776 5.5776 8.0022 Å, 90.00 90.00 120.00°
Fractional positions:
1 Sb 0.0000 0.0000 0.0000
2 Sb 0.3333 0.6667 0.2964
3 Sb 0.3333 0.6667 0.7036
4 Sb 0.6667 0.3333 0.2964
5 Sb 0.6667 0.3333 0.7036
6 Pt 0.0000 0.5000 0.0000
7 Pt 0.5000 0.0000 0.0000
8 Pt 0.5000 0.5000 0.0000
9 Au 0.0000 0.0000 0.5000



Material: Y3Zr3Te2Ir
Method: DFT, PBE-GGA
State: relaxed

Properties
Space-group type   No. 189
Energy   -0.551 Ry/atom

Cell: 8.1090 8.1090 3.8645 Å, 90.00 90.00 120.00°
Fractional positions:
1 Y 0.0000 0.3994 0.0000
2 Y 0.3994 0.0000 0.0000
3 Y 0.6006 0.6006 0.0000
4 Zr 0.0000 0.7613 0.5000
5 Zr 0.2387 0.2387 0.5000
6 Zr 0.7613 0.0000 0.5000
7 Te 0.3333 0.6667 0.5000
8 Te 0.6667 0.3333 0.5000
9 Ir 0.0000 0.0000 0.0000



Material: LaPa
Method: DFT, PBE-GGA
State: relaxed

Properties
Space-group type   No. 187
ΔE_f   51 kJ/mol of formula units

Cell: 3.3189 3.3189 5.9692 Å, 90.00 90.00 120.00°
Fractional positions:
1 La 0.0000 0.0000 0.0000
2 Pa 0.6667 0.3333 0.5000



Material: Er12TlNi6
Method: DFT, PBE-GGA
State: relaxed

Properties
Space-group type   No. 204
Energy   -0.378 Ry/atom

Cell: 8.3078 8.3078 8.3078 Å, 109.47 109.47 109.47°
Fractional positions:
1 Er 0.1149 0.8123 0.3026
2 Er 0.1877 0.3026 0.4903
3 Er 0.1877 0.6974 0.8851
4 Er 0.3026 0.1149 0.8123
5 Er 0.3026 0.4903 0.1877
6 Er 0.4903 0.1877 0.3026
7 Er 0.5097 0.8123 0.6974
8 Er 0.6974 0.5097 0.8123
9 Er 0.6974 0.8851 0.1877
10 Er 0.8123 0.3026 0.1149
11 Er 0.8123 0.6974 0.5097
12 Er 0.8851 0.1877 0.6974
13 Tl 0.0000 0.0000 0.0000
14 Ni 0.1236 0.6236 0.5000
15 Ni 0.3764 0.5000 0.8764
16 Ni 0.5000 0.1236 0.6236
17 Ni 0.5000 0.8764 0.3764
18 Ni 0.6236 0.5000 0.1236
19 Ni 0.8764 0.3764 0.5000



Material: TbPrMg2Sn2
Method: DFT, PBE-GGA
State: relaxed

Properties
Space-group type   No. 107
Energy   -0.295 Ry/atom

Cell: 4.4736 4.4736 16.1112 Å, 90.00 90.00 90.00°
Fractional positions:
1 Tb 0.0000 0.0000 0.0000
2 Tb 0.5000 0.5000 0.5000
3 Pr 0.0000 0.0000 0.6684
4 Pr 0.5000 0.5000 0.1684
5 Mg 0.0000 0.5000 0.3357
6 Mg 0.0000 0.5000 0.8357
7 Mg 0.5000 0.0000 0.3357
8 Mg 0.5000 0.0000 0.8357
9 Sn 0.0000 0.0000 0.2007
10 Sn 0.0000 0.0000 0.4687
11 Sn 0.5000 0.5000 0.7007
12 Sn 0.5000 0.5000 0.9687



Material: IrPbNO
Method: DFT, PBE-GGA
State: relaxed

Properties
Space-group type   No. 29
Energy   -0.458 Ry/atom

Cell: 5.7792 7.3540 5.2428 Å, 90.00 90.00 90.00°
Fractional positions:
1 Ir 0.1346 0.1485 0.0000
2 Ir 0.3654 0.1485 0.5000
3 Ir 0.6346 0.8515 0.0000
4 Ir 0.8654 0.8515 0.5000
5 Pb 0.0382 0.6550 0.9285
6 Pb 0.4618 0.6550 0.4285
7 Pb 0.5382 0.3450 0.9285
8 Pb 0.9618 0.3450 0.4285
9 N 0.0746 0.6462 0.3564
10 N 0.4254 0.6462 0.8564
11 N 0.5746 0.3538 0.3564
12 N 0.9254 0.3538 0.8564
13 O 0.1403 0.9789 0.6838
14 O 0.3597 0.9789 0.1838
15 O 0.6403 0.0211 0.6838
16 O 0.8597 0.0211 0.1838



Number 1: ρ 6.1 g/cm³. Number 2: ρ 12.7 g/cm³. Number 3: ρ 8.2 g/cm³. Number 4: ρ 7.0 g/cm³. Number 5: ρ 9.4 g/cm³. Number 6: ρ 12.2 g/cm³. Number 7: ρ 10.7 g/cm³. Number 8: ρ 7.5 g/cm³. Number 9: ρ 10.8 g/cm³. Number 10: ρ 9.6 g/cm³. Number 11: ρ 6.0 g/cm³. Number 12: ρ 12.8 g/cm³.